Entry 1:
# Sr2IrRu

A relaxed Sr2IrRu crystal (PBE, Alexandria). Values from VASP.

Computed properties:
total DFT energy (no corrections): -20.45 eV for the cell shown
calculated formation energy: 0.2621 eV per atom
calculated volume: 112 Å³ per cell
density of states at the Fermi level: 0.990 states/eV per atom

Structure (Quantum ESPRESSO input):
```
&SYSTEM
  ibrav = 0, nat = 4, ntyp = 3
/
ATOMIC_SPECIES
Ir 192.22 Ir.upf
Sr 87.62 Sr.upf
Ru 101.07 Ru.upf
ATOMIC_POSITIONS angstrom
Ir 0.000 0.000 5.206
Sr 0.000 0.000 8.186
Sr 1.627 1.791 2.972
Ru 1.627 1.791 5.889
CELL_PARAMETERS angstrom
3.556 0.038 0.000
-0.302 3.543 0.000
0.000 0.000 8.901
```

=====

Entry 2:
# Sr2IrRu

A relaxed Sr2IrRu crystal (PBE, Alexandria). Values from VASP.

Computed properties:
total DFT energy (no corrections): -19.38 eV for the cell shown
calculated formation energy: 0.5298 eV per atom
calculated volume: 94 Å³ per cell
density of states at the Fermi level: 0.591 states/eV per atom

Structure (Quantum ESPRESSO input):
```
&SYSTEM
  ibrav = 0, nat = 4, ntyp = 3
/
ATOMIC_SPECIES
Sr 87.62 Sr.upf
Ru 101.07 Ru.upf
Ir 192.22 Ir.upf
ATOMIC_POSITIONS angstrom
Sr 2.361 0.799 3.409
Sr 0.072 0.024 0.104
Ru 1.915 0.530 6.637
Ir -0.518 -0.293 3.124
CELL_PARAMETERS angstrom
-2.563 1.460 1.433
-0.908 -2.870 1.301
4.868 1.646 7.027
```

=====

Entry 3:
# Sr2TaIrRu

A relaxed Sr2TaIrRu crystal (PBE, Alexandria). Values from VASP.

Computed properties:
total DFT energy (no corrections): -25.55 eV for the cell shown
calculated formation energy: 1.5615 eV per atom
calculated volume: 164 Å³ per cell
density of states at the Fermi level: 1.680 states/eV per atom

Structure (Quantum ESPRESSO input):
```
&SYSTEM
  ibrav = 0, nat = 5, ntyp = 4
/
ATOMIC_SPECIES
Sr 87.62 Sr.upf
Ir 192.22 Ir.upf
Ta 180.95 Ta.upf
Ru 101.07 Ru.upf
ATOMIC_POSITIONS angstrom
Sr 2.744 0.233 1.115
Sr -1.139 0.557 2.687
Ir 0.001 -2.281 0.473
Ta 0.000 0.000 0.000
Ru 1.607 -1.491 4.275
CELL_PARAMETERS angstrom
-2.277 1.114 5.373
0.003 -4.563 0.947
5.488 0.466 2.229
```

=====

Entry 4:
# Sr2IrRuW

A relaxed Sr2IrRuW crystal (PBE, Alexandria). Values from VASP.

Computed properties:
total DFT energy (no corrections): -27.90 eV for the cell shown
calculated formation energy: 1.3113 eV per atom
calculated volume: 154 Å³ per cell
density of states at the Fermi level: 2.134 states/eV per atom

Structure (Quantum ESPRESSO input):
```
&SYSTEM
  ibrav = 0, nat = 5, ntyp = 4
/
ATOMIC_SPECIES
Sr 87.62 Sr.upf
W 183.84 W.upf
Ir 192.22 Ir.upf
Ru 101.07 Ru.upf
ATOMIC_POSITIONS angstrom
Sr 2.849 0.000 0.000
Sr 0.000 0.000 2.849
W 0.000 2.378 0.000
Ir 0.000 0.000 0.000
Ru 2.849 2.378 2.849
CELL_PARAMETERS angstrom
5.698 0.000 0.000
0.000 4.756 0.000
0.000 0.000 5.698
```

=====

Entry 5:
# TaIrRu2

A relaxed TaIrRu2 crystal (PBE, Alexandria). Values from VASP.

Computed properties:
total DFT energy (no corrections): -40.12 eV for the cell shown
E above lowest polymorph: 0.179 eV/atom
calculated formation energy: -0.2127 eV per atom
calculated volume: 60 Å³ per cell
density of states at the Fermi level: 0.808 states/eV per atom

Structure (Quantum ESPRESSO input):
```
&SYSTEM
  ibrav = 0, nat = 4, ntyp = 3
/
ATOMIC_SPECIES
Ir 192.22 Ir.upf
Ru 101.07 Ru.upf
Ta 180.95 Ta.upf
ATOMIC_POSITIONS angstrom
Ir 2.388 0.735 1.181
Ru 4.784 1.473 2.285
Ru 8.699 2.678 0.075
Ta 7.164 2.205 3.544
CELL_PARAMETERS angstrom
4.767 0.000 -0.001
3.941 2.681 -0.001
0.844 0.260 4.728
```

=====

Entry 6:
# Ta4IrRu

A relaxed Ta4IrRu crystal (PBE, Alexandria). Values from VASP.

Computed properties:
total DFT energy (no corrections): -63.78 eV for the cell shown
calculated formation energy: 0.2948 eV per atom
calculated volume: 104 Å³ per cell
density of states at the Fermi level: 0.855 states/eV per atom

Structure (Quantum ESPRESSO input):
```
&SYSTEM
  ibrav = 0, nat = 6, ntyp = 3
/
ATOMIC_SPECIES
Ta 180.95 Ta.upf
Ru 101.07 Ru.upf
Ir 192.22 Ir.upf
ATOMIC_POSITIONS angstrom
Ta 4.674 2.801 4.674
Ta 4.674 4.674 2.801
Ta 2.801 4.674 4.674
Ta 2.801 2.801 2.801
Ru 0.000 0.000 0.000
Ir 5.606 5.606 5.606
CELL_PARAMETERS angstrom
0.000 3.737 3.737
3.737 0.000 3.737
3.737 3.737 0.000
```

=====

Entry 7:
# TaIr2Ru

A relaxed TaIr2Ru crystal (PBE, Alexandria). Values from VASP.

Computed properties:
total DFT energy (no corrections): -40.08 eV for the cell shown
E above lowest polymorph: 0.258 eV/atom
calculated formation energy: -0.3065 eV per atom
calculated volume: 61 Å³ per cell
density of states at the Fermi level: 0.799 states/eV per atom

Structure (Quantum ESPRESSO input):
```
&SYSTEM
  ibrav = 0, nat = 4, ntyp = 3
/
ATOMIC_SPECIES
Ta 180.95 Ta.upf
Ir 192.22 Ir.upf
Ru 101.07 Ru.upf
ATOMIC_POSITIONS angstrom
Ta 2.407 0.736 1.165
Ir 9.610 2.940 4.728
Ir 7.215 2.208 3.498
Ru 4.801 1.469 2.450
CELL_PARAMETERS angstrom
4.801 0.006 0.003
3.982 2.682 0.003
0.830 0.254 4.729
```

=====

Entry 8:
# TaIrRu

A relaxed TaIrRu crystal (PBE, Alexandria). Values from VASP.

Computed properties:
total DFT energy (no corrections): -29.11 eV for the cell shown
E above lowest polymorph: 0.705 eV/atom
calculated formation energy: 0.2938 eV per atom
calculated volume: 55 Å³ per cell
density of states at the Fermi level: 1.458 states/eV per atom

Structure (Quantum ESPRESSO input):
```
&SYSTEM
  ibrav = 0, nat = 3, ntyp = 3
/
ATOMIC_SPECIES
Ir 192.22 Ir.upf
Ru 101.07 Ru.upf
Ta 180.95 Ta.upf
ATOMIC_POSITIONS angstrom
Ir -1.279 -7.475 2.073
Ru 0.000 0.000 0.000
Ta -0.853 -4.984 1.382
CELL_PARAMETERS angstrom
-2.554 -2.624 2.215
-0.800 -3.943 -1.459
1.649 -3.400 2.008
```

=====

Entry 9:
# TaIrRu2

A relaxed TaIrRu2 crystal (PBE, Alexandria). Values from VASP.

Computed properties:
total DFT energy (no corrections): -40.58 eV for the cell shown
E above lowest polymorph: 0.062 eV/atom
calculated formation energy: -0.3295 eV per atom
calculated volume: 60 Å³ per cell
density of states at the Fermi level: 0.890 states/eV per atom

Structure (Quantum ESPRESSO input):
```
&SYSTEM
  ibrav = 0, nat = 4, ntyp = 3
/
ATOMIC_SPECIES
Ru 101.07 Ru.upf
Ir 192.22 Ir.upf
Ta 180.95 Ta.upf
ATOMIC_POSITIONS angstrom
Ru -2.563 -2.615 1.357
Ru -0.826 -2.523 -0.796
Ir 1.859 -2.021 -0.378
Ta 0.912 -2.430 -2.948
CELL_PARAMETERS angstrom
-1.770 -2.931 -3.366
3.595 -1.929 -2.531
-0.793 0.317 4.723
```

=====

Entry 10:
# TaIrRu2

A relaxed TaIrRu2 crystal (PBE, Alexandria). Values from VASP.

Computed properties:
total DFT energy (no corrections): -40.16 eV for the cell shown
E above lowest polymorph: 0.168 eV/atom
calculated formation energy: -0.2229 eV per atom
calculated volume: 60 Å³ per cell
density of states at the Fermi level: 0.772 states/eV per atom

Structure (Quantum ESPRESSO input):
```
&SYSTEM
  ibrav = 0, nat = 4, ntyp = 3
/
ATOMIC_SPECIES
Ta 180.95 Ta.upf
Ru 101.07 Ru.upf
Ir 192.22 Ir.upf
ATOMIC_POSITIONS angstrom
Ta 4.791 1.472 2.323
Ru 0.830 0.255 4.634
Ru 7.173 2.204 3.586
Ir 2.406 0.739 1.141
CELL_PARAMETERS angstrom
4.790 0.000 -0.001
3.964 2.690 -0.001
0.828 0.255 4.675
```

=====

Entry 11:
# TaIrRu2

A relaxed TaIrRu2 crystal (PBE, Alexandria). Values from VASP.

Computed properties:
total DFT energy (no corrections): -38.93 eV for the cell shown
E above lowest polymorph: 0.474 eV/atom
calculated formation energy: 0.0829 eV per atom
calculated volume: 62 Å³ per cell
density of states at the Fermi level: 1.154 states/eV per atom

Structure (Quantum ESPRESSO input):
```
&SYSTEM
  ibrav = 0, nat = 4, ntyp = 3
/
ATOMIC_SPECIES
Ta 180.95 Ta.upf
Ru 101.07 Ru.upf
Ir 192.22 Ir.upf
ATOMIC_POSITIONS angstrom
Ta -1.248 -7.308 -3.426
Ru -0.416 -2.436 -1.142
Ru 0.000 0.000 0.000
Ir -0.832 -4.872 -2.284
CELL_PARAMETERS angstrom
-2.720 -3.512 -0.170
-0.616 -2.150 -3.842
1.672 -4.081 -0.556
```

=====

Entry 12:
# TaIr2Ru

A relaxed TaIr2Ru crystal (PBE, Alexandria). Values from VASP.

Computed properties:
total DFT energy (no corrections): -40.01 eV for the cell shown
E above lowest polymorph: 0.275 eV/atom
calculated formation energy: -0.2896 eV per atom
calculated volume: 61 Å³ per cell
density of states at the Fermi level: 0.885 states/eV per atom

Structure (Quantum ESPRESSO input):
```
&SYSTEM
  ibrav = 0, nat = 4, ntyp = 3
/
ATOMIC_SPECIES
Ir 192.22 Ir.upf
Ru 101.07 Ru.upf
Ta 180.95 Ta.upf
ATOMIC_POSITIONS angstrom
Ir -0.949 -1.017 4.511
Ir -4.555 -2.628 1.878
Ru -6.837 -3.938 2.758
Ta -2.279 -1.313 0.919
CELL_PARAMETERS angstrom
-4.738 -0.882 -0.296
-3.431 -3.348 -0.577
-0.946 -1.020 4.550
```

=====

Entry 13:
# TaIrRu

A relaxed TaIrRu crystal (PBE, Alexandria). Values from VASP.

Computed properties:
total DFT energy (no corrections): -124.65 eV for the cell shown
E above lowest polymorph: 0.020 eV/atom
calculated formation energy: -0.3908 eV per atom
calculated volume: 186 Å³ per cell
density of states at the Fermi level: 0.364 states/eV per atom

Structure (Quantum ESPRESSO input):
```
&SYSTEM
  ibrav = 0, nat = 12, ntyp = 3
/
ATOMIC_SPECIES
Ir 192.22 Ir.upf
Ru 101.07 Ru.upf
Ta 180.95 Ta.upf
ATOMIC_POSITIONS angstrom
Ir 2.214 4.100 5.752
Ir 0.000 1.367 1.918
Ir 2.214 1.367 5.752
Ir 0.000 4.100 1.918
Ru 0.000 0.000 4.475
Ru 0.000 2.733 7.029
Ru 2.214 2.733 3.194
Ru 2.214 0.000 0.641
Ta 2.214 0.000 3.197
Ta 0.000 0.000 7.032
Ta 0.000 2.733 4.472
Ta 2.214 2.733 0.637
CELL_PARAMETERS angstrom
4.428 0.000 0.000
0.000 5.467 0.000
0.000 0.000 7.670
```

=====

Entry 14:
# TaIrRu2

A relaxed TaIrRu2 crystal (PBE, Alexandria). Values from VASP.

Computed properties:
total DFT energy (no corrections): -39.86 eV for the cell shown
E above lowest polymorph: 0.242 eV/atom
calculated formation energy: -0.1497 eV per atom
calculated volume: 60 Å³ per cell
density of states at the Fermi level: 1.013 states/eV per atom

Structure (Quantum ESPRESSO input):
```
&SYSTEM
  ibrav = 0, nat = 4, ntyp = 3
/
ATOMIC_SPECIES
Ru 101.07 Ru.upf
Ta 180.95 Ta.upf
Ir 192.22 Ir.upf
ATOMIC_POSITIONS angstrom
Ru 0.000 0.000 0.046
Ru 1.390 1.387 1.825
Ta 0.000 0.000 3.913
Ir 1.390 1.387 5.935
CELL_PARAMETERS angstrom
2.778 -0.003 0.000
0.003 2.778 0.000
0.000 0.000 7.812
```

=====

Entry 15:
# TaIr2Ru

A relaxed TaIr2Ru crystal (PBE, Alexandria). Values from VASP.

Computed properties:
total DFT energy (no corrections): -40.51 eV for the cell shown
E above lowest polymorph: 0.148 eV/atom
calculated formation energy: -0.4161 eV per atom
calculated volume: 60 Å³ per cell
density of states at the Fermi level: 0.760 states/eV per atom

Structure (Quantum ESPRESSO input):
```
&SYSTEM
  ibrav = 0, nat = 4, ntyp = 3
/
ATOMIC_SPECIES
Ir 192.22 Ir.upf
Ta 180.95 Ta.upf
Ru 101.07 Ru.upf
ATOMIC_POSITIONS angstrom
Ir -1.217 1.073 2.140
Ir 0.936 -1.233 4.386
Ta -1.676 -0.350 4.430
Ru -0.774 -1.612 2.138
CELL_PARAMETERS angstrom
-2.661 3.238 1.478
-2.134 -1.830 0.167
1.252 -1.046 4.547
```

=====

Entry 16:
# TaIrRu2

A relaxed TaIrRu2 crystal (PBE, Alexandria). Values from VASP.

Computed properties:
total DFT energy (no corrections): -39.24 eV for the cell shown
E above lowest polymorph: 0.398 eV/atom
calculated formation energy: 0.0063 eV per atom
calculated volume: 61 Å³ per cell
density of states at the Fermi level: 1.326 states/eV per atom

Structure (Quantum ESPRESSO input):
```
&SYSTEM
  ibrav = 0, nat = 4, ntyp = 3
/
ATOMIC_SPECIES
Ru 101.07 Ru.upf
Ir 192.22 Ir.upf
Ta 180.95 Ta.upf
ATOMIC_POSITIONS angstrom
Ru 0.000 0.000 2.869
Ru 0.000 0.000 5.598
Ir 1.649 1.649 4.233
Ta 1.649 1.649 1.411
CELL_PARAMETERS angstrom
3.298 0.000 0.000
0.000 3.298 0.000
0.000 0.000 5.644
```

=====

Entry 17:
# TaIrRu2

A relaxed TaIrRu2 crystal (PBE, Alexandria). Values from VASP.

Computed properties:
total DFT energy (no corrections): -40.83 eV for the cell shown
E above lowest polymorph: 0.000 eV/atom
calculated formation energy: -0.3913 eV per atom
calculated volume: 60 Å³ per cell
density of states at the Fermi level: 1.144 states/eV per atom

Structure (Quantum ESPRESSO input):
```
&SYSTEM
  ibrav = 0, nat = 4, ntyp = 3
/
ATOMIC_SPECIES
Ru 101.07 Ru.upf
Ta 180.95 Ta.upf
Ir 192.22 Ir.upf
ATOMIC_POSITIONS angstrom
Ru 0.000 0.000 0.000
Ru 1.949 1.949 0.000
Ta 1.949 0.000 1.967
Ir 0.000 1.949 1.967
CELL_PARAMETERS angstrom
3.897 0.000 0.000
0.000 3.897 0.000
0.000 0.000 3.933
```

=====

Entry 18:
# TaIrRu2

A relaxed TaIrRu2 crystal (PBE, Alexandria). Values from VASP.

Computed properties:
total DFT energy (no corrections): -39.08 eV for the cell shown
E above lowest polymorph: 0.437 eV/atom
calculated formation energy: 0.0452 eV per atom
calculated volume: 61 Å³ per cell
density of states at the Fermi level: 1.245 states/eV per atom

Structure (Quantum ESPRESSO input):
```
&SYSTEM
  ibrav = 0, nat = 4, ntyp = 3
/
ATOMIC_SPECIES
Ru 101.07 Ru.upf
Ir 192.22 Ir.upf
Ta 180.95 Ta.upf
ATOMIC_POSITIONS angstrom
Ru -11.458 6.171 3.849
Ru -0.067 0.036 0.022
Ir -17.288 9.311 5.807
Ta -5.763 3.104 1.936
CELL_PARAMETERS angstrom
-6.902 5.532 2.674
-8.380 3.701 1.208
-7.769 3.182 3.862
```

=====

Entry 19:
# TaIrRu3

A relaxed TaIrRu3 crystal (PBE, Alexandria). Values from VASP.

Computed properties:
total DFT energy (no corrections): -42.94 eV for the cell shown
E above lowest polymorph: 0.000 eV/atom
calculated formation energy: 1.1197 eV per atom
calculated volume: 99 Å³ per cell
density of states at the Fermi level: 1.621 states/eV per atom

Structure (Quantum ESPRESSO input):
```
&SYSTEM
  ibrav = 0, nat = 5, ntyp = 3
/
ATOMIC_SPECIES
Ru 101.07 Ru.upf
Ir 192.22 Ir.upf
Ta 180.95 Ta.upf
ATOMIC_POSITIONS angstrom
Ru 6.788 4.512 7.347
Ru 5.861 2.303 6.208
Ru 4.392 4.512 6.208
Ir 6.521 4.334 4.819
Ta 3.465 2.303 5.070
CELL_PARAMETERS angstrom
4.792 0.000 2.277
1.855 4.418 2.277
0.535 0.355 5.056
```

=====

Entry 20:
# TaIr2Ru

A relaxed TaIr2Ru crystal (PBE, Alexandria). Values from VASP.

Computed properties:
total DFT energy (no corrections): -40.43 eV for the cell shown
E above lowest polymorph: 0.169 eV/atom
calculated formation energy: -0.3956 eV per atom
calculated volume: 60 Å³ per cell
density of states at the Fermi level: 0.625 states/eV per atom

Structure (Quantum ESPRESSO input):
```
&SYSTEM
  ibrav = 0, nat = 4, ntyp = 3
/
ATOMIC_SPECIES
Ta 180.95 Ta.upf
Ir 192.22 Ir.upf
Ru 101.07 Ru.upf
ATOMIC_POSITIONS angstrom
Ta -1.174 0.573 2.442
Ir 0.000 0.000 0.000
Ir -2.715 -0.392 0.353
Ru -1.813 1.695 -1.227
CELL_PARAMETERS angstrom
-3.354 0.731 -3.316
-2.076 -1.515 4.022
-0.272 2.660 0.862
```